[1]
This record from Alexandria describes a PBEsol-optimized structure of BaTe2PF. The functional is meta-GGA SCAN.

The structure in POSCAR format:
```
BaTe2PF
1.0
-1.176 -4.849 -0.317
4.790 -1.102 -0.912
0.850 -0.541 5.120
P Te Ba F
1 2 1 1
Direct
0.500 0.500 0.500
0.000 0.500 0.000
0.500 0.000 0.000
0.000 0.000 0.500
0.000 0.000 0.000
```

Output
- SG = P4/mmm
- total DFT energy (no corrections) (eV for the cell shown) = -130.64
- formation energy without anion corrections (eV/atom) = -0.53
- M_tot (μB per cell) = 0.000

[2]
This record from Alexandria describes a PBEsol-optimized structure of Y2MnZn. The functional is meta-GGA SCAN.

The structure in POSCAR format:
```
Y2MnZn
1.0
3.398 0.000 0.000
0.000 4.803 -0.184
-1.699 -2.200 5.308
Mn Y Zn
1 2 1
Direct
0.214 0.714 0.427
0.982 0.981 0.963
0.773 0.273 0.545
0.532 0.532 0.064
```

Output
- SG = Imm2
- total DFT energy (no corrections) (eV for the cell shown) = -88.28
- M_tot (μB per cell) = 3.169

[3]
This record from Alexandria describes a PBEsol-optimized structure of AlPI2O. The functional is meta-GGA SCAN.

The structure in POSCAR format:
```
AlPI2O
1.0
3.451 0.000 0.000
0.000 5.540 0.000
0.000 0.000 5.540
I P Al O
2 1 1 1
Direct
0.000 0.000 0.500
0.000 0.500 0.000
0.500 0.500 0.500
0.000 0.000 0.000
0.500 0.000 0.000
```

Output
- SG = P4/mmm
- total DFT energy (no corrections) (eV for the cell shown) = -99.58
- formation energy without anion corrections (eV/atom) = -0.34
- M_tot (μB per cell) = 0.000

[4]
This record from Alexandria describes a PBEsol-optimized structure of Sc3AlMo. The functional is meta-GGA SCAN.

The structure in POSCAR format:
```
Sc3AlMo
1.0
-2.172 -4.263 1.103
2.820 -2.292 -3.301
3.381 -0.827 3.463
Sc Mo Al
3 1 1
Direct
0.000 0.500 0.000
0.000 0.000 0.500
0.500 0.000 0.000
0.000 0.000 0.000
0.500 0.500 0.500
```

Output
- SG = Pm-3m
- total DFT energy (no corrections) (eV for the cell shown) = -82.70
- M_tot (μB per cell) = 0.000

[5]
This record from Alexandria describes a PBEsol-optimized structure of AlGeC2F. The functional is meta-GGA SCAN.

The structure in POSCAR format:
```
AlGeC2F
1.0
-0.494 3.520 -1.439
-3.692 -0.892 -0.916
-1.175 1.268 3.504
C Ge Al F
2 1 1 1
Direct
0.000 0.000 0.500
0.000 0.500 0.000
0.000 0.000 0.000
0.500 0.500 0.500
0.500 0.000 0.000
```

Output
- SG = P4/mmm
- total DFT energy (no corrections) (eV for the cell shown) = -45.30
- formation energy without anion corrections (eV/atom) = 1.06
- M_tot (μB per cell) = 0.000

[6]
This record from Alexandria describes a PBEsol-optimized structure of InCOF2. The functional is meta-GGA SCAN.

The structure in POSCAR format:
```
InCOF2
1.0
-3.549 1.841 1.183
0.892 -0.812 3.939
1.970 3.606 0.297
C F O In
1 2 1 1
Direct
0.500 0.500 0.500
0.000 0.000 0.500
0.000 0.500 0.000
0.500 0.000 0.000
0.000 0.000 0.000
```

Output
- SG = P4/mmm
- total DFT energy (no corrections) (eV for the cell shown) = -57.35
- formation energy without anion corrections (eV/atom) = -0.11
- M_tot (μB per cell) = 1.000

[7]
This record from Alexandria describes a PBEsol-optimized structure of CrCoRh. The functional is meta-GGA SCAN.

The structure in POSCAR format:
```
CrCoRh
1.0
-0.026 0.943 2.381
-1.540 -2.958 1.154
4.248 -0.542 -1.116
Rh Co Cr
1 1 1
Direct
0.333 0.333 0.666
0.005 0.005 0.011
0.662 0.662 0.323
```

Output
- SG = Imm2
- total DFT energy (no corrections) (eV for the cell shown) = -69.29
- energy above the lowest structure with this stoichiometry (meV per atom) = 0
- M_tot (μB per cell) = 0.071

[8]
This record from Alexandria describes a PBEsol-optimized structure of Zr2TaCo. The functional is meta-GGA SCAN.

The structure in POSCAR format:
```
Zr2TaCo
1.0
-2.165 -1.653 1.426
1.365 -2.593 -0.933
4.157 -0.059 6.243
Co Ta Zr
1 1 2
Direct
0.000 0.000 0.528
0.500 0.500 0.704
0.000 0.000 0.979
0.500 0.500 0.290
```

Output
- SG = P4mm
- total DFT energy (no corrections) (eV for the cell shown) = -145.58
- energy above the lowest structure with this stoichiometry (meV per atom) = 0
- M_tot (μB per cell) = 1.055

[9]
This record from Alexandria describes a PBEsol-optimized structure of Ag2Pt2Pb. The functional is meta-GGA SCAN.

The structure in POSCAR format:
```
Ag2Pt2Pb
1.0
3.853 0.000 0.000
0.000 3.853 0.000
-1.927 -1.927 6.458
Pb Ag Pt
1 2 2
Direct
0.000 0.000 0.000
0.250 0.750 0.500
0.750 0.250 0.500
0.400 0.400 0.800
0.600 0.600 0.200
```

Output
- SG = I4/mmm
- total DFT energy (no corrections) (eV for the cell shown) = -278.10
- M_tot (μB per cell) = 0.000

[10]
This record from Alexandria describes a PBEsol-optimized structure of KLiSc2Hg. The functional is meta-GGA SCAN.

The structure in POSCAR format:
```
KLiSc2Hg
1.0
5.363 0.000 0.000
0.000 5.363 0.000
0.000 0.000 6.298
Sc K Hg Li
2 1 1 1
Direct
0.000 0.500 0.000
0.500 0.000 0.000
0.000 0.000 0.500
0.000 0.000 0.000
0.500 0.500 0.500
```

Output
- SG = P4/mmm
- total DFT energy (no corrections) (eV for the cell shown) = -105.65
- M_tot (μB per cell) = 0.836

[11]
This record from Alexandria describes a PBEsol-optimized structure of K4BaSi3O9. The functional is meta-GGA SCAN.

The structure in POSCAR format:
```
K4BaSi3O9
1.0
-4.278 -2.426 -5.303
6.997 -0.918 -1.585
-0.235 -10.058 4.790
Ba K O Si
2 8 18 6
Direct
0.730 0.259 0.250
0.741 0.270 0.750
0.491 0.509 0.000
0.491 0.509 0.500
0.961 0.039 0.000
0.961 0.039 0.500
0.223 0.673 0.250
0.327 0.777 0.750
0.752 0.766 0.250
0.234 0.248 0.750
0.604 0.950 0.087
0.050 0.396 0.913
0.050 0.396 0.587
0.604 0.950 0.413
0.248 0.752 0.000
0.248 0.752 0.500
0.445 0.113 0.907
0.887 0.555 0.093
0.887 0.555 0.407
0.445 0.113 0.593
0.309 0.075 0.132
0.925 0.691 0.868
0.925 0.691 0.632
0.309 0.075 0.368
0.028 0.153 0.250
0.847 0.972 0.750
0.420 0.420 0.250
0.580 0.580 0.750
0.414 0.981 0.027
0.019 0.586 0.973
0.019 0.586 0.527
0.414 0.981 0.473
0.261 0.194 0.250
0.806 0.739 0.750
```

Output
- SG = Ama2
- total DFT energy (no corrections) (eV for the cell shown) = -412.07
- formation energy without anion corrections (eV/atom) = -2.77
- M_tot (μB per cell) = 0.001

[12]
This record from Alexandria describes a PBEsol-optimized structure of MoIrPt2. The functional is meta-GGA SCAN.

The structure in POSCAR format:
```
MoIrPt2
1.0
3.323 0.000 0.000
0.000 3.323 0.000
0.000 0.000 5.459
Ir Mo Pt
1 1 2
Direct
0.000 0.000 0.509
0.500 0.500 0.736
0.000 0.000 0.001
0.500 0.500 0.254
```

Output
- SG = P4mm
- total DFT energy (no corrections) (eV for the cell shown) = -246.69
- energy above the lowest structure with this stoichiometry (meV per atom) = 200
- M_tot (μB per cell) = 0.000

[13]
This record from Alexandria describes a PBEsol-optimized structure of CaAgF3. The functional is meta-GGA SCAN.

The structure in POSCAR format:
```
CaAgF3
1.0
4.335 0.000 0.000
0.000 4.335 0.000
0.000 0.000 4.335
Ca Ag F
1 1 3
Direct
0.000 0.000 0.000
0.500 0.500 0.500
0.000 0.500 0.000
0.000 0.000 0.500
0.500 0.000 0.000
```

Output
- SG = Pm-3m
- total DFT energy (no corrections) (eV for the cell shown) = -65.19
- formation energy without anion corrections (eV/atom) = -2.71
- M_tot (μB per cell) = 0.005